1.
{
  "formula": "Li3ZrTa2N6",
  "functional": "PBE",
  "state": "optimized geometry",
  "cell": [[5.475, -0.001, 0.004], [-2.737, 4.742, 0.004], [-0.910, -1.575, 5.064]],
  "species": ["Li", "Li", "Li", "N", "N", "N", "N", "N", "N", "Ta", "Ta", "Zr"],
  "fractional_positions": [[0.500, 0.500, 0.500], [0.830, 0.170, 0.500], [0.170, 0.830, 0.500], [0.273, 0.273, 0.778], [0.927, 0.581, 0.779], [0.419, 0.073, 0.221], [0.727, 0.727, 0.222], [0.073, 0.419, 0.221], [0.581, 0.927, 0.779], [0.333, 0.667, 0.000], [0.667, 0.333, 0.000], [0.000, 0.000, 0.000]],
  "magnetic_moment_mub_per_cell": 0.00,
  "e_form_raw_kcal_per_mol_atoms": -22.69
}



2.
{
  "formula": "LiZr2TaN4",
  "functional": "PBE",
  "state": "optimized geometry",
  "cell": [[-0.534, -0.656, -4.374], [-4.227, -1.222, 0.699], [1.056, 5.242, 1.353]],
  "species": ["Zr", "Zr", "Li", "N", "N", "N", "N", "Ta"],
  "fractional_positions": [[0.687, 0.187, 0.500], [0.187, 0.687, 0.500], [0.437, 0.437, 0.000], [0.695, 0.695, 0.516], [0.179, 0.179, 0.484], [0.937, 0.437, 0.000], [0.437, 0.937, 0.000], [0.937, 0.937, 0.000]],
  "magnetic_moment_mub_per_cell": 0.00,
  "e_form_raw_kcal_per_mol_atoms": -31.67
}



3.
{
  "formula": "LiZr2TaN5",
  "functional": "PBE",
  "state": "optimized geometry",
  "cell": [[3.131, 0.000, 0.000], [-1.566, 6.500, 0.000], [0.000, 0.000, 9.400]],
  "species": ["Ta", "Ta", "Li", "Li", "Zr", "Zr", "Zr", "Zr", "N", "N", "N", "N", "N", "N", "N", "N", "N", "N"],
  "fractional_positions": [[0.198, 0.397, 0.006], [0.802, 0.603, 0.506], [0.481, 0.961, 0.474], [0.519, 0.039, 0.974], [0.872, 0.743, 0.802], [0.128, 0.257, 0.302], [0.105, 0.210, 0.683], [0.895, 0.790, 0.183], [0.505, 0.011, 0.267], [0.495, 0.989, 0.767], [0.320, 0.641, 0.357], [0.639, 0.277, 0.496], [0.361, 0.723, 0.996], [0.283, 0.565, 0.660], [0.717, 0.435, 0.160], [0.945, 0.890, 0.579], [0.680, 0.359, 0.857], [0.055, 0.110, 0.079]],
  "magnetic_moment_mub_per_cell": 1.47,
  "e_form_raw_kcal_per_mol_atoms": -22.78
}